1.
VASP calculation (GGA-PBE) on crystalline Np3Tl3CuSe8 at its relaxed geometry.

## Properties
Crystal system: monoclinic
M_tot: 9.0 Bohr magnetons per cell
Final energy: -5.932 eV per atom

Cell lengths 8.246, 8.246, 9.264 Å; angles 117.75, 117.75, 58.07 degrees
Fractional positions:
Np: 0.000 0.000 0.000
Np: 0.000 0.500 0.000
Np: 0.500 0.000 0.000
Tl: 0.000 0.500 0.500
Tl: 0.500 0.000 0.500
Tl: 0.500 0.500 0.500
Cu: 0.500 0.500 0.000
Se: 0.235 0.235 0.206
Se: 0.243 0.243 0.786
Se: 0.249 0.716 0.185
Se: 0.284 0.751 0.815
Se: 0.716 0.249 0.185
Se: 0.751 0.284 0.815
Se: 0.757 0.757 0.214
Se: 0.765 0.765 0.794

2.
VASP calculation (GGA-PBE) on crystalline Al6Pd5Au at its relaxed geometry.

## Properties
Formation enthalpy at 0 K: -0.7789 eV per atom
Crystal system: monoclinic
M_tot: 0.0 Bohr magnetons per cell

Cell lengths 4.370, 6.191, 6.913 Å; angles 90.00, 107.72, 90.00 degrees
Fractional positions:
Al: 0.000 0.245 0.000
Al: 0.000 0.755 0.000
Al: 0.330 0.245 0.660
Al: 0.330 0.755 0.660
Al: 0.670 0.245 0.340
Al: 0.670 0.755 0.340
Pd: 0.161 0.000 0.327
Pd: 0.170 0.500 0.339
Pd: 0.500 0.000 0.000
Pd: 0.830 0.500 0.661
Pd: 0.839 0.000 0.673
Au: 0.500 0.500 0.000

3.
VASP calculation (GGA-PBE) on crystalline GaFe2Co at its relaxed geometry.

## Properties
Formation enthalpy at 0 K: -0.0333 eV per atom
Crystal system: tetragonal
M_tot: 6.3 Bohr magnetons per cell

Cell lengths 3.032, 3.032, 5.272 Å; angles 90.00, 90.00, 90.00 degrees
Fractional positions:
Ga: 0.000 0.000 0.000
Fe: 0.500 0.500 0.259
Fe: 0.500 0.500 0.741
Co: 0.000 0.000 0.500

4.
VASP calculation (GGA-PBE) on crystalline ZrTi3O at its relaxed geometry.

## Properties
Energy above the most stable polymorph in this dataset: 63 meV/atom
Crystal system: hexagonal
M_tot: 0.0 Bohr magnetons per cell

Cell lengths 6.123, 6.123, 4.909 Å; angles 90.00, 90.00, 120.00 degrees
Fractional positions:
Zr: 0.333 0.667 0.250
Zr: 0.667 0.333 0.750
Ti: 0.161 0.322 0.750
Ti: 0.161 0.839 0.750
Ti: 0.322 0.161 0.250
Ti: 0.678 0.839 0.750
Ti: 0.839 0.161 0.250
Ti: 0.839 0.678 0.250
O: 0.000 0.000 0.000
O: 0.000 0.000 0.500